Entry 1:
VASP calculation (GGA-PBE) on crystalline Y2Bi2Rh at its relaxed geometry.

It has space group P4/mbm (No. 127), with a = 7.374 Å, b = 7.374 Å, c = 4.763 Å, α = 90.00°, β = 90.00° and γ = 90.00°. Symmetry generates all atoms from Y at (0.167, 0.333, 0.000), Bi at (0.150, 0.650, 0.500) and Rh at (0.000, 0.000, 0.500).

As for the formation energy: -48 kJ per mole of atoms.

=====

Entry 2:
VASP calculation (GGA-PBE) on crystalline YBi2Rh at its relaxed geometry.

It has space group I4/mmm (No. 139), with a = 4.608 Å, b = 4.608 Å, c = 19.085 Å, α = 90.00°, β = 90.00° and γ = 90.00°. Symmetry generates all atoms from Y at (0.000, 0.000, 0.140), Bi at (0.000, 0.000, 0.333), Bi at (0.000, 0.500, 0.000) and Rh at (0.000, 0.500, 0.250).

As for the formation energy: -52 kJ per mole of atoms.

=====

Entry 3:
VASP calculation (GGA-PBE) on crystalline Y2BiRh2 at its relaxed geometry.

It has space group P4/mbm (No. 127), with a = 7.762 Å, b = 7.762 Å, c = 3.657 Å, α = 90.00°, β = 90.00° and γ = 90.00°. Symmetry generates all atoms from Y at (0.167, 0.333, 0.000), Bi at (0.000, 0.000, 0.500) and Rh at (0.131, 0.631, 0.500).

As for the formation energy: -71 kJ per mole of atoms. The value obtained for the polymorph energy (0 for the lowest one) is 0.0 meV/atom.

=====

Entry 4:
VASP calculation (GGA-PBE) on crystalline YBi2Rh at its relaxed geometry.

It has space group Fm-3m (No. 225), with a = 7.302 Å, b = 7.302 Å, c = 7.302 Å, α = 90.00°, β = 90.00° and γ = 90.00°. Symmetry generates all atoms from Y at (0.000, 0.000, 0.000), Bi at (0.250, 0.250, 0.250) and Rh at (0.000, 0.000, 0.500).

As for the formation energy: -21 kJ per mole of atoms.

=====

Entry 5:
VASP calculation (GGA-PBE) on crystalline ZnBiRh2 at its relaxed geometry.

It has space group P4/mmm (No. 123), with a = 4.323 Å, b = 4.323 Å, c = 3.599 Å, α = 90.00°, β = 90.00° and γ = 90.00°. Symmetry generates all atoms from Zn at (0.000, 0.000, 0.000), Bi at (0.500, 0.500, 0.000) and Rh at (0.000, 0.500, 0.500).

As for the formation energy: -11 kJ per mole of atoms.

=====

Entry 6:
VASP calculation (GGA-PBE) on crystalline ZnBi3Rh at its relaxed geometry.

It has space group Pm-3m (No. 221), with a = 5.341 Å, b = 5.341 Å, c = 5.341 Å, α = 90.00°, β = 90.00° and γ = 90.00°. Symmetry generates all atoms from Zn at (0.000, 0.000, 0.000), Bi at (0.000, 0.500, 0.500) and Rh at (0.500, 0.500, 0.500).

As for the formation energy: 38 kJ per mole of atoms. The value obtained for the polymorph energy (0 for the lowest one) is 0.0 meV/atom.

=====

Entry 7:
VASP calculation (GGA-PBE) on crystalline ZnBiRh2 at its relaxed geometry.

It has space group I-42d (No. 122), with a = 4.142 Å, b = 4.142 Å, c = 17.655 Å, α = 90.00°, β = 90.00° and γ = 90.00°. Symmetry generates all atoms from Zn at (0.000, 0.000, 0.000), Bi at (0.000, 0.000, 0.500) and Rh at (0.210, 0.250, 0.125).

As for the formation energy: 17 kJ per mole of atoms.

=====

Entry 8:
VASP calculation (GGA-PBE) on crystalline Zn2BiRh at its relaxed geometry.

It has space group I-42d (No. 122), with a = 7.719 Å, b = 7.719 Å, c = 5.361 Å, α = 90.00°, β = 90.00° and γ = 90.00°. Symmetry generates all atoms from Zn at (0.203, 0.250, 0.125), Bi at (0.000, 0.000, 0.500) and Rh at (0.000, 0.000, 0.000).

As for the formation energy: 16 kJ per mole of atoms.

=====

Entry 9:
VASP calculation (GGA-PBE) on crystalline ZnBi3Rh at its relaxed geometry.

It has space group Pm-3m (No. 221), with a = 5.245 Å, b = 5.245 Å, c = 5.245 Å, α = 90.00°, β = 90.00° and γ = 90.00°. Symmetry generates all atoms from Zn at (0.000, 0.000, 0.000), Bi at (0.000, 0.000, 0.500) and Rh at (0.500, 0.500, 0.500).

As for the formation energy: 84 kJ per mole of atoms. The value obtained for the polymorph energy (0 for the lowest one) is 480.1 meV/atom.

=====

Entry 10:
VASP calculation (GGA-PBE) on crystalline ZnBiRh2 at its relaxed geometry.

It has space group P4/mmm (No. 123), with a = 3.238 Å, b = 3.238 Å, c = 6.460 Å, α = 90.00°, β = 90.00° and γ = 90.00°. Symmetry generates all atoms from Zn at (0.000, 0.000, 0.000), Bi at (0.000, 0.000, 0.500) and Rh at (0.500, 0.500, 0.221).

As for the formation energy: -12 kJ per mole of atoms.

=====

Entry 11:
VASP calculation (GGA-PBE) on crystalline ZnBi3Rh4 at its relaxed geometry.

It has space group Imm2 (No. 44), with a = 5.876 Å, b = 10.036 Å, c = 5.316 Å, α = 90.00°, β = 90.00° and γ = 90.00°. Symmetry generates all atoms from Zn at (0.000, 0.000, 0.000), Bi at (0.000, 0.196, 0.576), Bi at (0.000, 0.500, 0.348), Rh at (0.000, 0.260, 0.075) and Rh at (0.231, 0.500, 0.866).

As for the formation energy: 3 kJ per mole of atoms.

=====

Entry 12:
VASP calculation (GGA-PBE) on crystalline ZrBiRh2 at its relaxed geometry.

It has space group P4/mmm (No. 123), with a = 3.357 Å, b = 3.357 Å, c = 6.854 Å, α = 90.00°, β = 90.00° and γ = 90.00°. Symmetry generates all atoms from Zr at (0.000, 0.000, 0.000), Bi at (0.000, 0.000, 0.500) and Rh at (0.500, 0.500, 0.215).

As for the formation energy: -47 kJ per mole of atoms.

=====

Entry 13:
VASP calculation (GGA-PBE) on crystalline ZrBi2Rh at its relaxed geometry.

It has space group I-42d (No. 122), with a = 7.919 Å, b = 7.919 Å, c = 6.227 Å, α = 90.00°, β = 90.00° and γ = 90.00°. Symmetry generates all atoms from Zr at (0.000, 0.000, 0.000), Bi at (0.209, 0.250, 0.625) and Rh at (0.000, 0.000, 0.500).

As for the formation energy: 6 kJ per mole of atoms.

=====

Entry 14:
VASP calculation (GGA-PBE) on crystalline Zr2BiRh at its relaxed geometry.

It has space group I-42d (No. 122), with a = 7.729 Å, b = 7.729 Å, c = 6.110 Å, α = 90.00°, β = 90.00° and γ = 90.00°. Symmetry generates all atoms from Zr at (0.207, 0.750, 0.125), Bi at (0.000, 0.000, 0.500) and Rh at (0.000, 0.000, 0.000).

As for the formation energy: -22 kJ per mole of atoms.

=====

Entry 15:
VASP calculation (GGA-PBE) on crystalline ZrBi3Rh at its relaxed geometry.

It has space group Pm-3m (No. 221), with a = 5.271 Å, b = 5.271 Å, c = 5.271 Å, α = 90.00°, β = 90.00° and γ = 90.00°. Symmetry generates all atoms from Zr at (0.000, 0.000, 0.000), Bi at (0.000, 0.500, 0.500) and Rh at (0.500, 0.500, 0.500).

As for the formation energy: 47 kJ per mole of atoms. The value obtained for the polymorph energy (0 for the lowest one) is 0.0 meV/atom.

=====

Entry 16:
VASP calculation (GGA-PBE) on crystalline ZrBi2Rh at its relaxed geometry.

It has space group R-3m (No. 166, hexagonal axes), with a = 3.3808 Å, b = 3.3808 Å, c = 30.0738 Å, α = 90.00°, β = 90.00° and γ = 120.00°. Symmetry generates all atoms from Zr at (0.0000, 0.0000, 0.0000), Bi at (0.0000, 0.0000, 0.0999) and Rh at (0.0000, 0.0000, 0.5000).

As for the formation energy: 14 kJ per mole of atoms.

=====

Entry 17:
VASP calculation (GGA-PBE) on crystalline Zr3BiRh at its relaxed geometry.

It has space group Pm-3m (No. 221), with a = 5.316 Å, b = 5.316 Å, c = 5.316 Å, α = 90.00°, β = 90.00° and γ = 90.00°. Symmetry generates all atoms from Zr at (0.000, 0.000, 0.500), Bi at (0.000, 0.000, 0.000) and Rh at (0.500, 0.500, 0.500).

As for the formation energy: 132 kJ per mole of atoms. The value obtained for the polymorph energy (0 for the lowest one) is 1398.7 meV/atom.

=====

Entry 18:
VASP calculation (GGA-PBE) on crystalline Zr2BiRh at its relaxed geometry.

It has space group R-3m (No. 166, hexagonal axes), with a = 3.9832 Å, b = 3.9832 Å, c = 20.6514 Å, α = 90.00°, β = 90.00° and γ = 120.00°. Symmetry generates all atoms from Zr at (0.0000, 0.0000, 0.2335), Bi at (0.0000, 0.0000, 0.0000) and Rh at (0.0000, 0.0000, 0.5000).

As for the formation energy: -34 kJ per mole of atoms.

=====

Entry 19:
VASP calculation (GGA-PBE) on crystalline Zr12Bi6Rh at its relaxed geometry.

It has space group R-3 (No. 148, hexagonal axes), with a = 12.2971 Å, b = 12.2971 Å, c = 11.4089 Å, α = 90.00°, β = 90.00° and γ = 120.00°. Symmetry generates all atoms from Zr at (0.0311, 0.1682, 0.3809), Zr at (0.0673, 0.1813, 0.8504), Bi at (0.0273, 0.4057, 0.2943) and Rh at (0.0000, 0.0000, 0.0000).

As for the formation energy: -3 kJ per mole of atoms.

=====

Entry 20:
VASP calculation (GGA-PBE) on crystalline ZrBi2Rh at its relaxed geometry.

It has space group Fm-3m (No. 225), with a = 7.109 Å, b = 7.109 Å, c = 7.109 Å, α = 90.00°, β = 90.00° and γ = 90.00°. Symmetry generates all atoms from Zr at (0.000, 0.000, 0.000), Bi at (0.250, 0.250, 0.250) and Rh at (0.000, 0.000, 0.500).

As for the formation energy: -3 kJ per mole of atoms.